Material: MgGeN2
Method: DFT, PBE
State: optimized geometry

## Properties
SG: No. 225
Raw formation energy, eV per atom: 0.84

Cell lengths 3.881, 3.881, 3.881 Å; angles 60.00, 60.00, 60.00 degrees
Fractional coordinates of all 4 atoms:
Ge  0.500  0.500  0.500
Mg  0.000  0.000  0.000
N  0.250  0.250  0.250
N  0.750  0.750  0.750